AlRuPb2: single point on PBEsol structure, meta-GGA SCAN.

a = 3.2177 Å, b = 3.2177 Å, c = 28.6368 Å
α = 90.00°, β = 90.00°, γ = 120.00°
Space group R3m (No. 160, hexagonal axes)
One atom of each set of equivalent atoms:
Al  0.0000  0.0000  0.0000 (multiplicity 3)
Ru  0.0000  0.0000  0.2755 (multiplicity 3)
Pb  0.0000  0.0000  0.5339 (multiplicity 3)
Pb  0.0000  0.0000  0.7587 (multiplicity 3)

Results
DFT total energy	-580.53	eV/cell


SiMo2Br: single point on PBEsol structure, meta-GGA SCAN.

a = 5.967 Å, b = 5.967 Å, c = 9.190 Å
α = 90.00°, β = 90.00°, γ = 90.00°
Space group I-42d (No. 122)
One atom of each set of equivalent atoms:
Si  0.000  0.000  0.000 (multiplicity 4)
Mo  0.244  0.250  0.125 (multiplicity 8)
Br  0.000  0.000  0.500 (multiplicity 4)

Results
formation energy without anion corrections	1.207	eV/atom
DFT total energy	-377.67	eV/cell


LiSi: single point on PBEsol structure, meta-GGA SCAN.

a = 2.643 Å, b = 2.643 Å, c = 8.357 Å
α = 90.00°, β = 90.00°, γ = 90.00°
Space group P4/nmm (No. 129, origin choice 2)
One atom of each set of equivalent atoms:
Li  0.250  0.250  0.147 (multiplicity 2)
Si  0.250  0.250  0.621 (multiplicity 2)

Results
formation energy without anion corrections	0.170	eV/atom
DFT total energy	-24.13	eV/cell


OsRuPt: single point on PBEsol structure, meta-GGA SCAN.

a = 2.7077 Å, b = 2.7077 Å, c = 6.6686 Å
α = 90.00°, β = 90.00°, γ = 120.00°
Space group P3m1 (No. 156)
One atom of each set of equivalent atoms:
Os  0.0000  0.0000  0.0000 (multiplicity 1)
Ru  0.6667  0.3333  0.3093 (multiplicity 1)
Pt  0.3333  0.6667  0.6534 (multiplicity 1)

Results
E above lowest polymorph	11	kJ/mol of formula units
DFT total energy	-176.74	eV/cell


HoMn4Sn6: single point on PBEsol structure, meta-GGA SCAN.

a = 6.683 Å, b = 6.683 Å, c = 9.425 Å
α = 90.00°, β = 90.00°, γ = 90.00°
Space group I-42m (No. 121)
One atom of each set of equivalent atoms:
Ho  0.000  0.000  0.000 (multiplicity 2)
Mn  0.156  0.156  0.566 (multiplicity 8)
Sn  0.000  0.500  0.000 (multiplicity 4)
Sn  0.184  0.184  0.284 (multiplicity 8)

Results
DFT total energy	-677.48	eV/cell


CuTc2W: single point on PBEsol structure, meta-GGA SCAN.

a = 2.717 Å, b = 2.717 Å, c = 7.522 Å
α = 90.00°, β = 90.00°, γ = 90.00°
Space group P4mm (No. 99)
One atom of each set of equivalent atoms:
Cu  0.000  0.000  0.000 (multiplicity 1)
Tc  0.000  0.000  0.520 (multiplicity 1)
Tc  0.500  0.500  0.754 (multiplicity 1)
W  0.500  0.500  0.247 (multiplicity 1)

Results
E above lowest polymorph	30	kJ/mol of formula units
DFT total energy	-154.02	eV/cell